## 1
# ScGaFeCu

Crystalline ScGaFeCu at its relaxed geometry (PBE, OQMD via LeMat-Bulk).

a = 4.395 Å, b = 4.395 Å, c = 4.395 Å
α = 60.00°, β = 60.00°, γ = 60.00°
Each line ends with the local moment (μB).
Sites, in units of the cell vectors:
Cu  0.000  0.000  0.000  0.05
Fe  0.750  0.750  0.750  2.24
Ga  0.250  0.250  0.250  -0.02
Sc  0.500  0.500  0.500  -0.21

## 2
# ScGaFeCu

Crystalline ScGaFeCu at its relaxed geometry (PBE, OQMD via LeMat-Bulk).

a = 4.315 Å, b = 4.315 Å, c = 4.315 Å
α = 60.00°, β = 60.00°, γ = 60.00°
Each line ends with the local moment (μB).
Sites, in units of the cell vectors:
Cu  0.000  0.000  0.000  0.02
Fe  0.500  0.500  0.500  1.07
Ga  0.250  0.250  0.250  -0.02
Sc  0.750  0.750  0.750  -0.13

## 3
# ScGaFeCu

Crystalline ScGaFeCu at its relaxed geometry (PBE, OQMD via LeMat-Bulk).

a = 4.369 Å, b = 4.369 Å, c = 4.369 Å
α = 60.00°, β = 60.00°, γ = 60.00°
Each line ends with the local moment (μB).
Sites, in units of the cell vectors:
Cu  0.500  0.500  0.500  0.03
Fe  0.250  0.250  0.250  2.43
Ga  0.000  0.000  0.000  -0.07
Sc  0.750  0.750  0.750  -0.10

Short version: 1 is the least stable of them.

## 1
# TaGaFeCu

Crystalline TaGaFeCu at its relaxed geometry (PBE, OQMD via LeMat-Bulk).

a = 4.297 Å, b = 4.297 Å, c = 4.297 Å
α = 60.00°, β = 60.00°, γ = 60.00°
Sites, in units of the cell vectors:
Cu  0.750  0.750  0.750
Fe  0.500  0.500  0.500
Ga  0.000  0.000  0.000
Ta  0.250  0.250  0.250

## 2
# TaGaFeCu

Crystalline TaGaFeCu at its relaxed geometry (PBE, OQMD via LeMat-Bulk).

a = 4.300 Å, b = 4.300 Å, c = 4.300 Å
α = 60.00°, β = 60.00°, γ = 60.00°
Sites, in units of the cell vectors:
Cu  0.500  0.500  0.500
Fe  0.750  0.750  0.750
Ga  0.000  0.000  0.000
Ta  0.250  0.250  0.250

Short version: 2 is the least stable of them.

## 1
# GaFeCuW

Crystalline GaFeCuW at its relaxed geometry (PBE, OQMD via LeMat-Bulk).

a = 4.195 Å, b = 4.195 Å, c = 4.195 Å
α = 60.00°, β = 60.00°, γ = 60.00°
Sites, in units of the cell vectors:
Cu  0.750  0.750  0.750
Fe  0.250  0.250  0.250
Ga  0.000  0.000  0.000
W  0.500  0.500  0.500

## 2
# GaFeCuW

Crystalline GaFeCuW at its relaxed geometry (PBE, OQMD via LeMat-Bulk).

a = 4.244 Å, b = 4.244 Å, c = 4.244 Å
α = 60.00°, β = 60.00°, γ = 60.00°
Sites, in units of the cell vectors:
Cu  0.500  0.500  0.500
Fe  0.750  0.750  0.750
Ga  0.000  0.000  0.000
W  0.250  0.250  0.250

Short version: 2 is the least stable of them.